Record 1
# BiPdAu4

BiPdAu4 after structural relaxation (GGA-PBE, Alexandria).

## Properties
total energy: -3.64 eV per atom
magnetic moment: 0.00 μB/cell
energy of formation from the pure elements: 0.054 eV/atom
crystal system: cubic
space-group type: No. 216

abc: 5.559 5.559 5.559
angles: 60.00 60.00 60.00
Fractional positions:
Bi1 0.000 0.000 0.000
Pd1 0.250 0.250 0.250
Au1 0.126 0.625 0.625
Au2 0.625 0.126 0.625
Au3 0.625 0.625 0.126
Au4 0.625 0.625 0.625

---

Record 2
# BiPd3Au4

BiPd3Au4 after structural relaxation (GGA-PBE, Alexandria).

## Properties
total energy: -4.14 eV per atom
magnetic moment: 0.00 μB/cell
energy of formation from the pure elements: -0.073 eV/atom
crystal system: monoclinic
space-group type: No. 12

abc: 7.053 7.053 4.943
angles: 110.39 110.39 39.67
Fractional positions:
Bi1 0.000 0.000 0.000
Pd1 0.375 0.375 0.874
Pd2 0.500 0.500 0.500
Pd3 0.625 0.625 0.126
Au1 0.129 0.129 0.628
Au2 0.258 0.258 0.257
Au3 0.742 0.742 0.743
Au4 0.871 0.871 0.372

---

Record 3
# BiPd5Au2

BiPd5Au2 after structural relaxation (GGA-PBE, Alexandria).

## Properties
total energy: -4.62 eV per atom
magnetic moment: 0.00 μB/cell
energy of formation from the pure elements: -0.072 eV/atom
crystal system: tetragonal
space-group type: No. 140

abc: 7.567 7.567 7.567
angles: 124.04 124.04 83.14
Fractional positions:
Bi1 0.250 0.250 0.000
Bi2 0.750 0.750 0.000
Pd1 0.000 0.000 0.000
Pd2 0.018 0.518 0.206
Pd3 0.188 0.982 0.500
Pd4 0.312 0.812 0.794
Pd5 0.482 0.688 0.500
Pd6 0.500 0.500 0.000
Pd7 0.518 0.312 0.500
Pd8 0.688 0.188 0.206
Pd9 0.812 0.018 0.500
Pd10 0.982 0.482 0.794
Au1 0.146 0.354 0.500
Au2 0.354 0.854 0.208
Au3 0.646 0.146 0.792
Au4 0.854 0.646 0.500

---

Record 4
# BiPd6Au2

BiPd6Au2 after structural relaxation (GGA-PBE, Alexandria).

## Properties
total energy: -4.75 eV per atom
magnetic moment: 0.00 μB/cell
energy of formation from the pure elements: -0.131 eV/atom
crystal system: monoclinic
space-group type: No. 12

abc: 4.944 4.944 8.576
angles: 105.03 105.03 49.95
Fractional positions:
Bi1 0.000 0.000 0.000
Pd1 0.011 0.011 0.339
Pd2 0.339 0.339 0.446
Pd3 0.342 0.342 0.115
Pd4 0.658 0.658 0.885
Pd5 0.661 0.661 0.554
Pd6 0.989 0.989 0.661
Au1 0.314 0.314 0.760
Au2 0.686 0.686 0.240

---

Record 5
# Bi6PdAu2

Bi6PdAu2 after structural relaxation (GGA-PBE, Alexandria).

## Properties
total energy: -3.95 eV per atom
magnetic moment: 0.00 μB/cell
energy of formation from the pure elements: -0.062 eV/atom
crystal system: monoclinic
space-group type: No. 14

abc: 7.491 6.725 12.086
angles: 90.00 125.43 90.00
Fractional positions:
Bi1 0.112 0.180 0.443
Bi2 0.112 0.320 0.943
Bi3 0.222 0.667 0.409
Bi4 0.222 0.833 0.909
Bi5 0.373 0.547 0.730
Bi6 0.373 0.953 0.230
Bi7 0.627 0.047 0.770
Bi8 0.627 0.453 0.270
Bi9 0.778 0.167 0.091
Bi10 0.778 0.333 0.591
Bi11 0.888 0.680 0.057
Bi12 0.888 0.820 0.557
Pd1 0.500 0.000 0.500
Pd2 0.500 0.500 0.000
Au1 0.217 0.150 0.736
Au2 0.217 0.350 0.236
Au3 0.783 0.650 0.764
Au4 0.783 0.850 0.264

---

Record 6
# Bi2Pd12Au5

Bi2Pd12Au5 after structural relaxation (GGA-PBE, Alexandria).

## Properties
total energy: -4.65 eV per atom
magnetic moment: 0.00 μB/cell
energy of formation from the pure elements: -0.100 eV/atom
crystal system: monoclinic
space-group type: No. 12

abc: 7.756 7.756 6.023
angles: 93.24 93.24 67.27
Fractional positions:
Bi1 0.231 0.769 0.000
Bi2 0.769 0.231 0.000
Pd1 0.055 0.549 0.800
Pd2 0.139 0.139 0.890
Pd3 0.166 0.629 0.402
Pd4 0.371 0.834 0.598
Pd5 0.451 0.945 0.200
Pd6 0.453 0.453 0.718
Pd7 0.547 0.547 0.282
Pd8 0.549 0.055 0.800
Pd9 0.629 0.166 0.402
Pd10 0.834 0.371 0.598
Pd11 0.861 0.861 0.110
Pd12 0.945 0.451 0.200
Au1 0.000 0.000 0.500
Au2 0.237 0.237 0.500
Au3 0.334 0.334 0.099
Au4 0.666 0.666 0.901
Au5 0.763 0.763 0.500